[1]
Below is an optimized crystal structure of TaW2Au, with properties calculated at the GGA-PBE level.

Geometry as POSCAR:
```
TaW2Au
1.0
1.639 -2.247 0.000
1.639 2.247 0.000
0.000 0.000 9.207
Ta W Au
1 2 1
Cartesian
0.000 0.000 0.000 Ta
0.000 0.000 4.728 W
1.639 0.000 6.920 W
1.639 0.000 2.363 Au
```

Values from the calculation:
The value obtained for the total energy is -40.6 eV for the cell shown. The formation energy comes out at 0.098 eV per atom. The energy relative to the lowest polymorph listed for this composition is 0 meV per atom.

---

[2]
Below is an optimized crystal structure of DyPaCu2O8, with properties calculated at the GGA-PBE level.

Geometry as POSCAR:
```
DyPaCu2O8
1.0
-3.538 3.538 3.269
3.538 -3.538 3.269
3.538 3.538 -3.269
Dy Pa Cu O
1 1 2 8
Cartesian
0.000 0.000 0.000 Dy
3.538 0.000 1.635 Pa
0.000 0.000 3.269 Cu
0.000 3.538 1.635 Cu
2.223 3.538 -1.304 O
1.315 0.000 1.965 O
0.000 2.294 0.286 O
3.538 2.223 1.304 O
0.000 4.781 0.286 O
0.000 1.315 4.573 O
-1.244 3.538 2.983 O
1.244 3.538 2.983 O
```

Values from the calculation:
The value obtained for the total energy is -82.7 eV for the cell shown. As for the formation energy (no corrections): -1732 meV per atom.

---

[3]
Below is an optimized crystal structure of Nd3Er4Hg4, with properties calculated at the GGA-PBE level.

Geometry as POSCAR:
```
Nd3Er4Hg4
1.0
-2.470 3.937 8.248
2.470 -3.937 8.248
2.470 3.937 -8.248
Nd Er Hg
3 4 4
Cartesian
0.000 0.000 0.000 Nd
2.470 0.000 6.427 Nd
0.000 3.937 1.822 Nd
2.470 1.676 -2.877 Er
2.470 1.676 2.877 Er
0.000 2.260 5.371 Er
0.000 2.260 11.125 Er
0.000 0.000 3.473 Hg
2.470 2.387 0.000 Hg
0.000 1.549 8.248 Hg
0.000 0.000 13.024 Hg
```

Values from the calculation:
The value obtained for the total energy is -37.0 eV for the cell shown. The formation energy comes out at -0.294 eV per atom.

---

[4]
Below is an optimized crystal structure of Tb2YSnC, with properties calculated at the GGA-PBE level.

Geometry as POSCAR:
```
Tb2YSnC
1.0
4.924 0.000 0.000
0.000 4.924 0.000
0.000 0.000 4.895
Tb Y Sn C
2 1 1 1
Cartesian
0.000 2.462 0.000 Tb
2.462 0.000 0.000 Tb
0.000 0.000 2.448 Y
2.462 2.462 2.448 Sn
0.000 0.000 0.000 C
```

Values from the calculation:
The value obtained for the total energy is -32.1 eV for the cell shown. The formation energy comes out at -0.629 eV per atom.

---

[5]
Below is an optimized crystal structure of NaTiMn2, with properties calculated at the GGA-PBE level.

Geometry as POSCAR:
```
NaTiMn2
1.0
-1.906 1.906 8.870
1.906 -1.906 8.870
1.906 1.906 -8.870
Na Ti Mn
2 2 4
Cartesian
0.000 0.000 0.000 Na
0.000 1.906 4.435 Na
1.906 0.000 4.435 Ti
0.000 0.000 8.870 Ti
0.953 1.338 -2.218 Mn
2.473 0.953 2.218 Mn
0.953 0.568 6.653 Mn
-0.568 0.953 11.088 Mn
```

Values from the calculation:
The value obtained for the total energy is -46.4 eV for the cell shown. The formation energy comes out at 1.092 eV per atom. The energy relative to the lowest polymorph listed for this composition is 421 meV per atom.

---

[6]
Below is an optimized crystal structure of PmMg2Cd, with properties calculated at the GGA-PBE level.

Geometry as POSCAR:
```
PmMg2Cd
1.0
1.662 0.960 10.732
-1.662 0.960 10.732
0.000 -1.919 10.732
Pm Mg Cd
1 2 1
Cartesian
0.000 0.000 0.000 Pm
0.000 0.000 18.531 Mg
0.000 0.000 24.349 Mg
0.000 0.000 5.342 Cd
```

Values from the calculation:
The value obtained for the total energy is -8.9 eV for the cell shown. The formation energy comes out at -0.008 eV per atom. The energy relative to the lowest polymorph listed for this composition is 221 meV per atom.